1.
Crystalline Cs2LaSi2S6 at its relaxed geometry, computed with PBE.

Summary:
- Formation energy from raw total energies: -1.125 eV/atom
- Total magnetization: 0.90 μB per cell

The structure in CIF format:
```
data_Cs2LaSi2S6
_cell_length_a 7.401
_cell_length_b 7.409
_cell_length_c 8.224
_cell_angle_alpha 117.50
_cell_angle_beta 90.00
_cell_angle_gamma 119.97
_symmetry_space_group_name_H-M 'P 1'
_symmetry_Int_Tables_number 1
loop_
_symmetry_equiv_pos_as_xyz
'x,y,z'
loop_
_atom_site_label
_atom_site_fract_x
_atom_site_fract_y
_atom_site_fract_z
Cs1 0.276 0.551 0.788
Cs2 0.724 0.449 0.212
S1 0.263 0.049 0.777
S2 0.786 0.049 0.777
S3 0.761 0.522 0.698
S4 0.737 0.951 0.223
S5 0.214 0.951 0.223
S6 0.239 0.478 0.302
La1 0.500 0.000 0.500
Si1 0.049 0.098 0.188
Si2 0.951 0.902 0.812
```

***

2.
Crystalline GdMgAg at its relaxed geometry, computed with PBE.

Summary:
- E_form: -188 meV/atom
- Total magnetization: 7.37 μB per cell

The structure in CIF format:
```
data_GdMgAg
_cell_length_a 3.425
_cell_length_b 4.913
_cell_length_c 4.913
_cell_angle_alpha 120.00
_cell_angle_beta 90.00
_cell_angle_gamma 90.00
_symmetry_space_group_name_H-M 'P 1'
_symmetry_Int_Tables_number 1
loop_
_symmetry_equiv_pos_as_xyz
'x,y,z'
loop_
_atom_site_label
_atom_site_fract_x
_atom_site_fract_y
_atom_site_fract_z
Ag1 0.167 0.333 0.667
Mg1 0.167 0.000 0.000
Gd1 0.667 0.667 0.333
```